No. 1
{"formula": "KMg2Mn", "functional": "GGA-PBE", "state": "relaxed", "lattice_angstrom": [[3.715, -2.783, 2.589], [-0.906, -1.666, 4.966], [-0.750, -5.171, 0.973]], "species": ["Mn", "K", "Mg", "Mg"], "fractional_positions": [[0.500, 0.500, 0.500], [0.000, 0.000, 0.000], [0.750, 0.750, 0.750], [0.250, 0.250, 0.250]], "spacegroup": "Fm-3m (225)", "dft_energy_ev_per_atom": -2.787, "delta_e_f_ev_per_atom": 0.5767, "dos_ef_per_ev_fu": 3.50}

No. 2
{"formula": "TiCoBr2", "functional": "GGA-PBE", "state": "relaxed", "lattice_angstrom": [[5.728, 0.000, 0.000], [0.000, 5.728, 0.000], [2.864, 2.864, 5.266]], "species": ["Br", "Br", "Br", "Br", "Ti", "Ti", "Co", "Co"], "fractional_positions": [[0.375, 0.347, 0.750], [0.097, 0.625, 0.250], [0.653, 0.125, 0.250], [0.875, 0.903, 0.750], [0.250, 0.750, 0.500], [0.500, 0.500, 0.000], [0.000, 0.000, 0.000], [0.750, 0.250, 0.500]], "spacegroup": "I-42d (122)", "dft_energy_ev_per_atom": -4.366, "dos_ef_per_ev_fu": 4.04}

No. 3
{"formula": "Co2IrRh6", "functional": "GGA-PBE", "state": "relaxed", "lattice_angstrom": [[-0.403, -0.411, 2.629], [3.583, -6.380, 0.929], [5.524, 1.920, 3.905]], "species": ["Rh", "Rh", "Rh", "Rh", "Rh", "Rh", "Ir", "Co", "Co"], "fractional_positions": [[0.264, 0.717, 0.127], [0.135, 0.609, 0.811], [0.624, 0.153, 0.550], [0.736, 0.283, 0.873], [0.376, 0.847, 0.450], [0.865, 0.391, 0.189], [0.000, 0.500, 0.500], [0.923, 0.946, 0.854], [0.077, 0.054, 0.146]], "spacegroup": "C2/m (12)", "dft_energy_ev_per_atom": -7.339, "delta_e_f_ev_per_atom": 0.1260, "dos_ef_per_ev_fu": 13.75}

Which total magnetization belongs to each record? In order, 4.1, 0.0, 4.6 μB per formula unit.